Density functional theory data (PBE) for a relaxed Er4InTe5 crystal.

Unit cell a=9.211 b=9.733 c=7.691 alpha=90.00 beta=90.00 gamma=90.00
Space group Pmmn (No. 59, origin choice 2)
Symmetry-distinct sites (fractional):
1 Er 0.010 0.250 0.090
2 Er 0.250 0.028 0.510
3 In 0.250 0.250 0.797
4 Te 0.028 0.547 0.236
5 Te 0.250 0.750 0.674

The size of the total moment is 0.003 μB per atom. The calculation puts the density of states at the Fermi level at 7.4 states/eV/cell. Its uncorrected formation energy is -915.7 meV per atom.